(1)
{"formula": "LuCdIrRh", "functional": "PBE", "state": "relaxed", "lattice": [[4.6515, 0.0000, 0.0000], [2.3257, 4.0283, 0.0000], [2.3257, 1.3428, 3.7979]], "species": ["Rh", "Ir", "Lu", "Cd"], "fractional_positions": [[0.0000, 0.0000, 0.0000], [0.5000, 0.5000, 0.5000], [0.2500, 0.2500, 0.2500], [0.7500, 0.7500, 0.7500]], "sg": "F-43m, No. 216", "ef_ev_per_atom": -0.51, "n_ef_per_ev_cell": 2.15}

***

(2)
{"formula": "La3VI", "functional": "PBE", "state": "relaxed", "lattice": [[-5.4579, 0.2423, -0.1584], [-0.2456, -2.2918, 4.9558], [0.1533, 4.9560, 2.2995]], "species": ["I", "La", "La", "La", "V"], "fractional_positions": [[0.5000, 0.5000, 0.5000], [0.0000, 0.5000, 0.0000], [0.0000, 0.0000, 0.5000], [0.5000, 0.0000, 0.0000], [0.0000, 0.0000, 0.0000]], "raw_formation_energy_ev_per_atom": 0.048, "sg": "Pm-3m, No. 221", "n_ef_per_ev_cell": 5.51}

***

(3)
{"formula": "Ba5US8", "functional": "PBE", "state": "relaxed", "lattice": [[8.0032, -0.0101, 0.0174], [-2.7175, 7.5278, -0.0174], [-2.5682, -3.8113, 6.5521]], "species": ["Ba", "Ba", "Ba", "Ba", "Ba", "U", "S", "S", "S", "S", "S", "S", "S", "S"], "fractional_positions": [[0.9956, 0.3829, 0.1298], [0.8702, 0.8658, 0.2531], [0.7469, 0.6171, 0.6127], [0.5000, 0.0000, 0.5000], [0.3873, 0.1342, 0.0044], [0.2500, 0.5000, 0.7500], [0.1401, 0.7092, 0.9759], [0.0241, 0.1642, 0.7333], [0.7976, 0.2572, 0.3907], [0.6093, 0.4069, 0.8664], [0.4595, 0.5931, 0.2024], [0.5691, 0.8358, 0.8599], [0.2667, 0.2908, 0.4309], [0.1336, 0.7428, 0.5405]], "raw_formation_energy_ev_per_atom": -1.723, "sg": "I-4, No. 82", "n_ef_per_ev_cell": 1.92}

***

(4)
{"formula": "Ba8LiAu2", "functional": "PBE", "state": "relaxed", "lattice": [[-0.9172, 0.3700, 6.7339], [2.5725, -8.8995, -0.4247], [7.3867, 5.5782, -0.5644]], "species": ["Ba", "Ba", "Ba", "Ba", "Ba", "Ba", "Ba", "Ba", "Li", "Au", "Au"], "fractional_positions": [[0.5956, 0.3337, 0.0644], [0.5956, 0.0644, 0.3337], [0.2079, 0.3801, 0.3801], [0.9991, 0.2494, 0.7561], [0.9991, 0.7561, 0.2494], [0.7916, 0.6268, 0.6268], [0.4028, 0.9416, 0.6718], [0.4028, 0.6718, 0.9416], [0.0060, 0.0042, 0.0042], [0.4995, 0.6879, 0.3181], [0.4995, 0.3181, 0.6879]], "sg": "Cm, No. 8", "ef_ev_per_atom": -0.22, "n_ef_per_ev_cell": 14.03}

***

(5)
{"formula": "NdTh2", "functional": "PBE", "state": "relaxed", "lattice": [[-5.6769, 2.0249, -2.8791], [-0.3945, 0.4519, -6.6526], [-3.7415, -4.3447, -3.4266]], "species": ["Nd", "Nd", "Th", "Th", "Th", "Th"], "fractional_positions": [[0.0000, 0.0000, 0.0000], [0.2500, 0.2500, 0.2500], [0.1250, 0.6250, 0.6250], [0.6250, 0.1250, 0.6250], [0.6250, 0.6250, 0.6250], [0.6250, 0.6250, 0.1250]], "sg": "Fd-3m, No. 227", "ef_ev_per_atom": 0.26, "n_ef_per_ev_cell": 13.37}

***

(6)
{"formula": "TiPbI2O", "functional": "PBE", "state": "relaxed", "lattice": [[-3.9993, 4.8885, -2.1003], [-4.1002, -4.5061, -2.6808], [-1.9948, -0.1865, 3.3644]], "species": ["Pb", "I", "I", "O", "Ti"], "fractional_positions": [[0.5000, 0.5000, 0.5000], [0.0000, 0.5000, 0.0000], [0.5000, 0.0000, 0.0000], [0.0000, 0.0000, 0.5000], [0.0000, 0.0000, 0.0000]], "raw_formation_energy_ev_per_atom": -0.745, "sg": "P4/mmm, No. 123", "n_ef_per_ev_cell": 5.36}